Entry 1:
DFT (PBE) results for crystalline NiRuN at its relaxed geometry.

Summary:
final energy	-7.454	eV per atom
energy above the most stable polymorph in this dataset	0.115	eV/atom

abc: 2.7966 2.8082 10.0267
angles: 97.91 90.12 119.74
Closest atoms and distances in Å follow each position.
Atoms (fractional coordinates):
Ni1 0.2013 0.4038 0.1087  3 N 1.85
Ni2 0.7987 0.5962 0.8913  3 N 1.85
Ru1 0.3716 0.7433 0.6116  1 N 1.87
Ru2 0.6284 0.2567 0.3884  1 N 1.87
N1 0.4358 0.8723 0.8008  3 Ni 1.85, 1 Ru 1.87
N2 0.5642 0.1277 0.1992  3 Ni 1.85, 1 Ru 1.87

=====

Entry 2:
DFT (PBE) results for crystalline NiRuN at its relaxed geometry.

Summary:
final energy	-7.529	eV per atom
energy above the most stable polymorph in this dataset	0.040	eV/atom

abc: 2.7682 2.7682 14.1242
angles: 90.00 90.00 120.00
Closest atoms and distances in Å follow each position.
Atoms (fractional coordinates):
Ni1 0.0000 0.0000 0.0000  3 N 2.01
Ni2 0.3333 0.6667 0.6667  3 N 2.01
Ni3 0.6667 0.3333 0.3333  3 N 2.01
Ru1 0.0000 0.0000 0.1792  3 N 2.06
Ru2 0.3333 0.6667 0.8459  3 N 2.06
Ru3 0.6667 0.3333 0.5125  3 N 2.06
N1 0.0000 0.0000 0.7535  3 Ni 2.01, 3 Ru 2.06
N2 0.3333 0.6667 0.4202  3 Ni 2.01, 3 Ru 2.06
N3 0.6667 0.3333 0.0868  3 Ni 2.01, 3 Ru 2.06

=====

Entry 3:
DFT (PBE) results for crystalline NiRuSe2N at its relaxed geometry.

Summary:
final energy	-5.272	eV per atom
energy above the most stable polymorph in this dataset	0.110	eV/atom

abc: 4.8541 4.8541 3.3137
angles: 90.00 90.00 90.00
Closest atoms and distances in Å follow each position.
Atoms (fractional coordinates):
Ni1 0.0000 0.0000 0.0000  2 N 1.66
Ru1 0.5000 0.5000 0.5000  8 Se 2.94
Se1 0.0000 0.5000 0.0000  2 Ni 2.43
Se2 0.5000 0.0000 0.0000  2 Ni 2.43
N1 0.0000 0.0000 0.5000  2 Ni 1.66